1.
VASP calculation (GGA-PBEsol) on a geometry-optimized ZnC3 structure.

## Properties
- magnetization (μB per atom) = 0.0001
- energy above the lowest structure with this stoichiometry (eV/f.u.) = 4.94

a b c (Å): 4.121 4.121 4.121
angles (deg): 90.00 90.00 90.00
Space group Pm-3n (No. 223)
One atom of each set of equivalent atoms:
Zn  0.000  0.000  0.000 (multiplicity 2)
C  0.000  0.250  0.500 (multiplicity 6)

2.
VASP calculation (GGA-PBEsol) on a geometry-optimized Zr2Ni2Pd structure.

## Properties
- magnetization (μB per atom) = 0.0001

a b c (Å): 6.890 6.890 3.271
angles (deg): 90.00 90.00 90.00
Space group P4/mbm (No. 127)
One atom of each set of equivalent atoms:
Zr  0.175  0.325  0.000 (multiplicity 4)
Ni  0.125  0.625  0.500 (multiplicity 4)
Pd  0.000  0.000  0.500 (multiplicity 2)

3.
VASP calculation (GGA-PBEsol) on a geometry-optimized NaIn3 structure.

## Properties
- magnetization (μB per atom) = 0.0000

a b c (Å): 4.604 4.604 4.604
angles (deg): 90.00 90.00 90.00
Space group Pm-3m (No. 221)
One atom of each set of equivalent atoms:
Na  0.000  0.000  0.000 (multiplicity 1)
In  0.000  0.500  0.500 (multiplicity 3)

4.
VASP calculation (GGA-PBEsol) on a geometry-optimized ReMoPt3 structure.

## Properties
- magnetization (μB per atom) = 0.6142

a b c (Å): 4.677 4.677 4.677
angles (deg): 90.00 90.00 90.00
Space group Pm-3m (No. 221)
One atom of each set of equivalent atoms:
Re  0.000  0.000  0.000 (multiplicity 1)
Mo  0.500  0.500  0.500 (multiplicity 1)
Pt  0.000  0.500  0.500 (multiplicity 3)

Number 1: volume 70 Å³ per cell, formation enthalpy at 0 K 3.17 eV per atom, total DFT energy (no corrections) -4.4554 eV/atom. Number 2: volume 155 Å³ per cell, formation enthalpy at 0 K -0.59 eV per atom, total DFT energy (no corrections) -7.8759 eV/atom. Number 3: volume 98 Å³ per cell, formation enthalpy at 0 K -0.10 eV per atom, total DFT energy (no corrections) -2.6870 eV/atom. Number 4: volume 102 Å³ per cell, formation enthalpy at 0 K 2.03 eV per atom, total DFT energy (no corrections) -7.1731 eV/atom.